A relaxed DyGa5 crystal, computed with PBE-GGA.

Results
Crystal system: orthorhombic
Total magnetization: 0.00 μB per formula unit
Space-group type: No. 71
Formation energy from the elements: -1.996 eV/f.u.
Calculated density: 7.31 g/cm3
Density of states at the Fermi level: 2.3 states/eV/cell
Energy relative to the lowest polymorph listed for this composition: 0.000 eV/atom
VASP energy: -21.7 eV for the cell shown

Lattice parameters (Å, degrees): 4.245 5.797 5.797 64.59 68.52 68.52
Atoms (fractional coordinates):
Dy  0.500  0.000  0.000
Ga  0.836  0.887  0.440
Ga  0.500  0.500  0.500
Ga  0.164  0.113  0.560
Ga  0.164  0.560  0.113
Ga  0.836  0.440  0.887